{
  "formula": "RbCuAgS",
  "functional": "PBE-GGA",
  "state": "relaxed",
  "lattice_angstrom": [[3.936, 0.000, 0.000], [0.000, 3.936, 0.000], [0.000, 0.000, 12.788]],
  "species": ["Rb", "Rb", "Cu", "Cu", "Ag", "Ag", "S", "S"],
  "fractional_positions": [[0.250, 0.250, 0.244], [0.750, 0.750, 0.756], [0.250, 0.750, 0.000], [0.750, 0.250, 0.000], [0.250, 0.750, 0.500], [0.750, 0.250, 0.500], [0.250, 0.250, 0.895], [0.750, 0.750, 0.105]],
  "n_ef_per_ev_fu": 1.482,
  "magnetic_moment_mub_per_fu": 0.0,
  "vol_a3_per_cell": 198.15,
  "e_form_raw_ev_per_atom": -0.360,
  "energy_ry_per_atom": -0.24771
}